Record 1
Here is a crystal of CrCdO4 relaxed with PBEsol from the Alexandria database. Energies are from meta-GGA SCAN.

a = 5.2085 Å, b = 5.2085 Å, c = 6.9573 Å
α = 90.00°, β = 90.00°, γ = 114.13°
Sites, in units of the cell vectors:
O: 0.7464 0.2536 0.4412
O: 0.2870 0.2252 0.2500
Cr: 0.3593 0.6407 0.7500
O: 0.2252 0.2870 0.7500
Cd: 0.0000 0.0000 0.5000
Cr: 0.6407 0.3593 0.2500
O: 0.2536 0.7464 0.5588
Cd: 0.0000 0.0000 0.0000
O: 0.7130 0.7748 0.7500
O: 0.7464 0.2536 0.0588
O: 0.7748 0.7130 0.2500
O: 0.2536 0.7464 0.9412

energy above the most stable polymorph in this dataset = 0.000 eV per atom
raw total energy = -14.013 eV per atom
Fermi-level density of states = 0.00 states/eV/cell

=====

Record 2
Here is a crystal of CrCdP2O relaxed with PBEsol from the Alexandria database. Energies are from meta-GGA SCAN.

a = 3.9546 Å, b = 4.9076 Å, c = 4.9076 Å
α = 90.00°, β = 90.00°, γ = 90.00°
Last column: magnetic moment on the atom in μB.
Sites, in units of the cell vectors:
P: 0.0000 0.5000 0.0000  -0.35
Cd: 0.0000 0.0000 0.0000  0.00
P: 0.0000 0.0000 0.5000  -0.35
Cr: 0.5000 0.5000 0.5000  3.99
O: 0.5000 0.0000 0.0000  -0.27

raw total energy = -14.301 eV per atom
Fermi-level density of states = 2.94 states/eV/cell

=====

Record 3
Here is a crystal of CrCdTc2O relaxed with PBEsol from the Alexandria database. Energies are from meta-GGA SCAN.

a = 4.2705 Å, b = 4.2705 Å, c = 5.0040 Å
α = 90.00°, β = 90.00°, γ = 90.00°
Last column: magnetic moment on the atom in μB.
Sites, in units of the cell vectors:
Tc: 0.5000 0.0000 0.0000  1.85
O: 0.5000 0.5000 0.5000  0.83
Cr: 0.0000 0.0000 0.0000  -1.19
Tc: 0.0000 0.5000 0.0000  1.85
Cd: 0.0000 0.0000 0.5000  -0.04

raw total energy = -23.501 eV per atom
Fermi-level density of states = 2.46 states/eV/cell

=====

Record 4
Here is a crystal of CrCd2Os relaxed with PBEsol from the Alexandria database. Energies are from meta-GGA SCAN.

a = 2.7818 Å, b = 4.9624 Å, c = 5.4841 Å
α = 115.31°, β = 102.08°, γ = 95.63°
Last column: magnetic moment on the atom in μB.
Sites, in units of the cell vectors:
Cd: 0.5000 0.5000 0.5000  -0.01
Cd: 0.0000 0.0000 0.5000  -0.01
Cr: 0.5000 0.0000 0.0000  3.52
Os: 0.0000 0.5000 0.0000  -0.81

energy above the most stable polymorph in this dataset = 0.048 eV per atom
raw total energy = -37.285 eV per atom
Fermi-level density of states = 2.54 states/eV/cell